a) Pm4ZnNi, optimized geometry, DFT GGA-PBE; volume = 636 Å³/cell; D(E_F) = 19.7 states/eV/cell; crystal system = cubic
1.0
8.359 0.000 4.826
2.786 7.881 4.826
0.000 0.000 9.652
Zn Pm Ni
4 16 4
Cartesian
1.916 1.355 3.319
4.527 1.355 4.826
1.916 1.355 6.333
2.786 3.816 4.826
7.279 7.438 12.608
7.319 1.472 6.628
7.827 3.143 9.652
6.199 4.383 14.478
7.279 7.438 16.349
3.827 6.409 12.676
9.439 4.383 16.349
2.081 1.472 9.652
9.439 4.383 12.608
4.445 3.143 7.700
4.445 3.143 11.605
3.827 6.409 6.628
9.064 6.409 9.652
5.573 6.332 9.652
7.319 1.472 12.676
10.519 7.438 14.478
6.765 4.783 11.716
5.573 1.412 9.652
3.189 4.783 9.652
6.765 4.783 7.588


b) Pm4ZnNi, optimized geometry, DFT GGA-PBE; volume = 166 Å³/cell; D(E_F) = 6.1 states/eV/cell; crystal system = monoclinic
1.0
-3.590 -2.947 1.175
1.209 -2.913 -3.610
4.423 -3.621 4.440
Ni Pm Zn
1 4 1
Cartesian
3.120 -4.165 -0.894
4.751 -5.494 0.775
1.567 -1.929 -0.022
0.374 -4.852 -1.234
1.353 -4.693 2.169
-1.358 -2.471 -0.549


a) is favored, and the nearest alternative lies 10.1 kJ/mol of atoms above it.


a) Pm8ZnNi2, optimized geometry, DFT GGA-PBE; volume = 313 Å³/cell; D(E_F) = 13.5 states/eV/cell; crystal system = monoclinic
1.0
-2.258 -3.967 -3.231
7.436 -2.964 0.417
-4.534 -1.116 6.516
Pm Ni Zn
8 2 1
Cartesian
0.830 -3.381 -1.163
-2.200 -2.913 0.381
2.863 -5.156 3.368
-3.907 -5.539 1.842
0.704 -2.328 2.086
2.312 -6.499 -1.326
-0.040 -5.743 1.662
-0.165 -4.689 4.911
-2.083 -3.662 3.102
2.745 -4.407 0.642
0.001 -0.025 0.010


b) Pm8ZnNi2, optimized geometry, DFT GGA-PBE; volume = 304 Å³/cell; D(E_F) = 9.9 states/eV/cell; crystal system = monoclinic
1.0
5.195 0.000 0.000
0.000 6.819 -0.046
-2.598 -2.985 8.592
Pm Ni Zn
8 2 1
Cartesian
0.000 4.859 5.468
2.598 -1.024 3.078
2.598 -1.331 8.011
2.598 2.695 1.601
0.000 5.165 0.535
0.000 1.175 3.366
2.598 2.659 5.180
0.000 1.140 6.945
2.598 -0.101 5.642
0.000 3.936 2.904
2.598 0.000 0.000


b) is favored, and the nearest alternative lies 9.8 kJ/mol of atoms above it.


a) PmZrNi2, optimized geometry, DFT GGA-PBE; volume = 74 Å³/cell; D(E_F) = 3.4 states/eV/cell; crystal system = cubic
1.0
-0.004 3.752 2.869
-4.090 1.799 1.530
-1.249 -0.491 4.528
Ni Pm Zr
2 1 1
Cartesian
-4.007 3.794 6.696
-1.336 1.265 2.232
-2.671 2.529 4.464
0.000 0.000 0.000


b) PmZrNi2, optimized geometry, DFT GGA-PBE; volume = 80 Å³/cell; D(E_F) = 4.0 states/eV/cell; crystal system = trigonal
1.0
4.415 0.000 0.000
2.207 3.823 0.000
2.207 1.274 4.732
Ni Pm Zr
2 1 1
Cartesian
6.622 3.823 2.952
2.207 1.274 1.780
0.000 0.000 0.000
4.415 2.549 2.366


b) is favored, and the nearest alternative lies 8.6 kJ/mol of atoms above it.


a) PrNi6, optimized geometry, DFT GGA-PBE; volume = 149 Å³/cell; D(E_F) = 7.9 states/eV/cell; crystal system = cubic
1.0
5.301 0.000 0.000
0.000 5.301 0.000
0.000 0.000 5.301
Ni Pr
6 1
Cartesian
2.651 2.651 4.257
4.257 2.651 2.651
2.651 1.044 2.651
2.651 2.651 1.044
2.651 4.257 2.651
1.044 2.651 2.651
0.000 0.000 0.000


b) PrNi6, optimized geometry, DFT GGA-PBE; volume = 121 Å³/cell; D(E_F) = 7.0 states/eV/cell; crystal system = cubic
1.0
5.397 0.000 0.000
-1.799 5.088 0.000
-1.799 -2.544 4.406
Ni Pr
6 1
Cartesian
-0.899 0.636 3.305
0.899 3.180 1.102
0.899 -0.636 3.305
2.698 1.908 1.102
-0.899 2.544 2.203
2.698 0.000 2.203
0.000 0.000 0.000


b) is favored, and the nearest alternative lies 37.4 kJ/mol of atoms above it.


a) Pr4Ni, optimized geometry, DFT GGA-PBE; volume = 171 Å³/cell; D(E_F) = 11.6 states/eV/cell; crystal system = cubic
1.0
-0.120 5.544 -0.174
-4.583 -0.001 3.127
3.125 0.212 4.580
Pr Ni
4 1
Cartesian
0.000 0.000 0.000
-0.729 0.105 3.853
1.502 2.878 2.203
-2.352 2.771 1.477
-0.789 2.877 3.767


b) Pr4Ni, optimized geometry, DFT GGA-PBE; volume = 309 Å³/cell; D(E_F) = 13.6 states/eV/cell; crystal system = tetragonal
1.0
6.518 0.000 0.000
0.000 6.518 0.000
0.000 0.000 7.280
Ni Pr
2 8
Cartesian
3.259 3.259 3.640
0.000 0.000 0.000
4.757 1.126 4.714
5.393 4.757 2.566
2.133 5.021 1.074
1.498 2.133 6.206
5.021 4.385 6.206
4.385 1.498 1.074
1.126 1.761 2.566
1.761 5.393 4.714


b) is favored, and the nearest alternative lies 7.2 kJ/mol of atoms above it.


a) Pr8Ni2Pt, optimized geometry, DFT GGA-PBE; volume = 314 Å³/cell; D(E_F) = 10.8 states/eV/cell; crystal system = monoclinic
1.0
-1.622 -4.668 -1.762
5.512 -0.439 -3.913
2.896 -1.482 9.072
Pr Ni Pt
8 2 1
Cartesian
2.783 -1.675 1.875
2.116 -3.233 -1.194
4.002 -4.914 1.523
6.831 -2.898 1.389
2.258 -5.979 5.951
4.527 -0.610 -2.553
-0.046 -3.691 2.009
4.669 -3.355 4.591
4.827 -1.649 -0.077
1.958 -4.940 3.474
-0.811 -2.334 -0.881


b) Pr8Ni2Pt, optimized geometry, DFT GGA-PBE; volume = 331 Å³/cell; D(E_F) = 14.1 states/eV/cell; crystal system = monoclinic
1.0
-3.736 5.042 1.470
-5.383 -5.280 -1.607
3.541 -1.105 6.758
Pr Pt Ni
8 1 2
Cartesian
-3.820 1.023 0.890
-1.555 -2.629 5.696
-3.990 -3.768 3.413
-7.191 0.513 1.501
-1.904 2.986 6.456
-1.429 2.142 3.131
-1.328 -1.443 2.136
-4.154 -0.110 4.487
-0.755 0.901 0.356
-1.106 0.032 4.912
-4.456 -1.535 1.773


a) is favored, and the nearest alternative lies 7.7 kJ/mol of atoms above it.


a) Pr8NiPt2, optimized geometry, DFT GGA-PBE; volume = 321 Å³/cell; D(E_F) = 10.9 states/eV/cell; crystal system = monoclinic
1.0
5.102 0.000 0.000
0.000 7.058 0.635
-2.551 -2.257 8.704
Pr Pt Ni
8 2 1
Cartesian
0.000 1.436 3.752
2.551 -0.573 8.290
0.000 -1.292 5.884
2.551 3.365 5.587
0.000 5.374 1.049
2.551 2.742 1.811
2.551 6.093 3.455
0.000 2.059 7.528
2.551 0.459 5.408
0.000 4.342 3.930
2.551 0.000 0.000


b) Pr8NiPt2, optimized geometry, DFT GGA-PBE; volume = 344 Å³/cell; D(E_F) = 12.2 states/eV/cell; crystal system = monoclinic
1.0
-0.897 3.566 -5.486
-6.986 -2.865 1.250
1.272 5.399 5.273
Pr Ni Pt
8 1 2
Cartesian
-0.987 7.443 -0.709
-0.694 3.860 -1.359
-4.351 4.412 -0.130
-5.913 2.022 2.723
-6.451 1.975 -3.370
-3.623 4.313 3.838
-2.934 1.619 -2.450
-2.244 1.581 1.359
-0.295 0.894 -1.231
-1.813 4.529 1.362
-4.835 1.505 -0.110


a) is favored, and the nearest alternative lies 7.1 kJ/mol of atoms above it.


a) PrYNiPt, optimized geometry, DFT GGA-PBE; volume = 88 Å³/cell; D(E_F) = 4.3 states/eV/cell; crystal system = cubic
1.0
4.989 0.000 0.000
2.494 4.320 0.000
2.494 1.440 4.073
Pt Pr Y Ni
1 1 1 1
Cartesian
7.483 4.320 3.055
0.000 0.000 0.000
4.989 2.880 2.037
2.494 1.440 1.018


b) PrYNiPt, optimized geometry, DFT GGA-PBE; volume = 91 Å³/cell; D(E_F) = 2.6 states/eV/cell; crystal system = orthorhombic
1.0
3.929 0.000 0.000
0.000 4.457 0.000
-1.964 0.000 5.191
Ni Pr Y Pt
1 1 1 1
Cartesian
0.000 0.000 4.372
0.000 0.000 1.480
1.964 2.229 3.761
1.964 2.229 0.769


b) is favored, and the nearest alternative lies 9.2 kJ/mol of atoms above it.